[1]
12
Lattice="11.117 0.000 0.000 0.000 3.302 0.000 -2.457 0.000 7.092" Properties=species:S:1:pos:R:3 comment="SCAN Li5Y, PBEsol geometry" e_tot_ev_per_atom=-6.540 volume_a3_per_atom=21.69 crystal_system=monoclinic polymorph_energy_mev_per_atom=24.7 ef_ev_per_atom=0.0917 pbc="T T T"
Li 0.000 0.000 0.000
Li -0.906 0.000 3.218
Li 1.272 1.651 2.244
Li 3.440 0.000 1.261
Li 2.533 0.000 4.486
Li 5.559 1.651 0.000
Li 4.652 1.651 3.218
Li 6.830 0.000 2.244
Li 8.999 1.651 1.261
Li 8.092 1.651 4.486
Y 0.037 1.651 5.787
Y 5.596 0.000 5.787

---

[2]
8
Lattice="7.474 0.000 0.000 0.000 3.074 0.000 -0.023 0.000 6.486" Properties=species:S:1:pos:R:3 comment="SCAN Zn2PSe, PBEsol geometry" e_tot_ev_per_atom=-14.559 volume_a3_per_atom=18.62 crystal_system=monoclinic formation_energy_uncorrected_mev_per_atom=-182 pbc="T T T"
Zn 0.000 0.000 0.000
Zn 1.562 0.000 2.898
Zn 3.737 1.537 0.000
Zn 5.299 1.537 2.898
P 1.645 1.537 0.976
P 5.382 0.000 0.976
Se 3.599 0.000 4.248
Se 7.336 1.537 4.248

---

[3]
5
Lattice="5.293 0.000 0.000 0.000 5.293 0.000 0.000 0.000 4.209" Properties=species:S:1:pos:R:3 comment="SCAN ReTe2PdCl, PBEsol geometry" e_tot_ev_per_atom=-35.521 volume_a3_per_atom=23.59 crystal_system=tetragonal formation_energy_uncorrected_mev_per_atom=1749 pbc="T T T"
Re 0.000 0.000 0.000
Te 0.000 2.647 2.104
Te 2.647 0.000 2.104
Pd 2.647 2.647 0.000
Cl 0.000 0.000 2.104

---

[4]
5
Lattice="4.138 0.000 0.000 0.000 4.138 0.000 0.000 0.000 4.138" Properties=species:S:1:pos:R:3 comment="SCAN KRh3N, PBEsol geometry" e_tot_ev_per_atom=-23.300 volume_a3_per_atom=14.17 crystal_system=cubic formation_energy_uncorrected_mev_per_atom=487 pbc="T T T"
K 0.000 0.000 0.000
Rh 0.000 2.069 2.069
Rh 2.069 0.000 2.069
Rh 2.069 2.069 0.000
N 2.069 2.069 2.069